Entry 1:
First-principles (PBE) data for an optimized crystal structure of CeGe2Ir, as listed in the Alexandria database.

a b c (Å): 4.3706 6.9362 10.3693
angles (deg): 90.00 90.00 90.00
With the nearest neighbours (Å) after each atom.
Positions (direct):
Ce 0.7500 0.6734 0.6300  9 Ge 3.04-3.30, 3 Ir 3.19-3.34
Ce 0.2500 0.8266 0.1300  9 Ge 3.04-3.30, 3 Ir 3.19-3.34
Ce 0.2500 0.3266 0.3700  9 Ge 3.04-3.30, 3 Ir 3.19-3.34
Ce 0.7500 0.1734 0.8700  9 Ge 3.04-3.30, 3 Ir 3.19-3.34
Ge 0.7500 0.2048 0.5773  3 Ir 2.45-2.60, 2 Ge 2.66
Ge 0.2500 0.2952 0.0773  3 Ir 2.45-2.60, 2 Ge 2.66
Ge 0.2500 0.7952 0.4227  3 Ir 2.45-2.60, 2 Ge 2.66
Ge 0.7500 0.7048 0.9227  3 Ir 2.45-2.60, 2 Ge 2.66
Ge 0.7500 0.6299 0.3279  2 Ir 2.44-2.59, 2 Ge 2.66
Ge 0.2500 0.8701 0.8279  2 Ir 2.44-2.59, 2 Ge 2.66
Ge 0.2500 0.3701 0.6721  2 Ir 2.44-2.59, 2 Ge 2.66
Ge 0.7500 0.1299 0.1721  2 Ir 2.44-2.59, 2 Ge 2.66
Ir 0.7500 0.9920 0.3882  5 Ge 2.44-2.60
Ir 0.2500 0.5080 0.8882  5 Ge 2.44-2.60
Ir 0.2500 0.0080 0.6118  5 Ge 2.44-2.60
Ir 0.7500 0.4920 0.1118  5 Ge 2.44-2.60

Calculated values
volume = 314 Å³/cell
E_tot = -6.72 eV/atom
total moment = 0.57 μB/f.u.
space group = Pnma, No. 62
energy of formation = -0.71 eV per atom

Entry 2:
First-principles (PBE) data for an optimized crystal structure of CeGeIr2, as listed in the Alexandria database.

a b c (Å): 3.9105 5.6931 4.5266
angles (deg): 128.97 90.03 90.00
With the nearest neighbours (Å) after each atom.
Positions (direct):
Ce 0.5000 0.5000 0.0000  4 Ir 2.81, 2 Ge 2.85
Ge 0.5000 0.0000 0.0000  4 Ir 2.47
Ir 0.9996 0.7866 0.5733  2 Ge 2.47
Ir 0.0004 0.2134 0.4267  2 Ge 2.47

Calculated values
volume = 78 Å³/cell
E_tot = -7.34 eV/atom
total moment = 0.00 μB/f.u.
space group = Cmmm, No. 65
energy above the most stable polymorph in this dataset = 1.32 eV/f.u.
energy of formation = -0.27 eV per atom

Entry 3:
First-principles (PBE) data for an optimized crystal structure of Ce3Ge2Ir, as listed in the Alexandria database.

a b c (Å): 4.3125 11.2736 11.9643
angles (deg): 90.00 90.00 90.00
With the nearest neighbours (Å) after each atom.
Positions (direct):
Ce 0.2500 0.3765 0.0496  1 Ir 2.95, 5 Ge 3.02-3.26
Ce 0.7500 0.6235 0.9504  1 Ir 2.95, 5 Ge 3.02-3.26
Ce 0.7500 0.8765 0.4504  1 Ir 2.95, 5 Ge 3.02-3.26
Ce 0.2500 0.1235 0.5496  1 Ir 2.95, 5 Ge 3.02-3.26
Ce 0.2500 0.6995 0.2268  2 Ir 2.91, 4 Ge 3.09-3.19
Ce 0.7500 0.3005 0.7732  2 Ir 2.91, 4 Ge 3.09-3.19
Ce 0.7500 0.1995 0.2732  2 Ir 2.91, 4 Ge 3.09-3.19
Ce 0.2500 0.8005 0.7268  2 Ir 2.91, 4 Ge 3.09-3.19
Ce 0.2500 0.4420 0.3786  3 Ir 3.00-3.04, 5 Ge 3.08-3.14
Ce 0.7500 0.5580 0.6214  3 Ir 3.00-3.04, 5 Ge 3.08-3.14
Ce 0.7500 0.9420 0.1214  3 Ir 3.00-3.04, 5 Ge 3.08-3.14
Ce 0.2500 0.0580 0.8786  3 Ir 3.00-3.04, 5 Ge 3.08-3.14
Ge 0.2500 0.6931 0.4893  2 Ir 2.66
Ge 0.7500 0.3069 0.5107  2 Ir 2.66
Ge 0.7500 0.1931 0.0107  2 Ir 2.66
Ge 0.2500 0.8069 0.9893  2 Ir 2.66
Ge 0.2500 0.9941 0.3059  1 Ir 2.64
Ge 0.7500 0.0059 0.6941  1 Ir 2.64
Ge 0.7500 0.4941 0.1941  1 Ir 2.64
Ge 0.2500 0.5059 0.8059  1 Ir 2.64
Ir 0.2500 0.1270 0.1244  3 Ge 2.64-2.66, 3 Ce 2.91-2.95
Ir 0.7500 0.8730 0.8756  3 Ge 2.64-2.66, 3 Ce 2.91-2.95
Ir 0.7500 0.6270 0.3756  3 Ge 2.64-2.66, 3 Ce 2.91-2.95
Ir 0.2500 0.3730 0.6244  3 Ge 2.64-2.66, 3 Ce 2.91-2.95

Calculated values
volume = 582 Å³/cell
E_tot = -6.77 eV/atom
total moment = 2.56 μB/f.u.
space group = Pnma, No. 62
energy above the most stable polymorph in this dataset = 0.00 eV/f.u.
energy of formation = -0.79 eV per atom

Entry 4:
First-principles (PBE) data for an optimized crystal structure of Ce4GeIr2, as listed in the Alexandria database.

a b c (Å): 4.0920 7.0512 13.3059
angles (deg): 90.00 90.00 106.87
With the nearest neighbours (Å) after each atom.
Positions (direct):
Ce 0.7692 0.5384 0.1225  3 Ir 2.78-2.88, 2 Ge 3.11
Ce 0.7692 0.5384 0.3775  3 Ir 2.78-2.88, 2 Ge 3.11
Ce 0.2308 0.4616 0.8775  3 Ir 2.78-2.88, 2 Ge 3.11
Ce 0.2308 0.4616 0.6225  3 Ir 2.78-2.88, 2 Ge 3.11
Ce 0.9516 0.9032 0.7500  2 Ir 2.76, 2 Ge 2.97
Ce 0.0484 0.0968 0.2500  2 Ir 2.76, 2 Ge 2.97
Ce 0.5000 0.0000 0.0000  4 Ir 2.83
Ce 0.5000 0.0000 0.5000  4 Ir 2.83
Ge 0.6115 0.2230 0.7500  6 Ce 2.97-3.11
Ge 0.3885 0.7770 0.2500  6 Ce 2.97-3.11
Ir 0.1322 0.2643 0.4394  6 Ce 2.76-2.88
Ir 0.8678 0.7357 0.9394  6 Ce 2.76-2.88
Ir 0.1322 0.2643 0.0606  6 Ce 2.76-2.88
Ir 0.8678 0.7357 0.5606  6 Ce 2.76-2.88

Calculated values
volume = 367 Å³/cell
E_tot = -7.22 eV/atom
total moment = 1.64 μB/f.u.
space group = Cmcm, No. 63
energy of formation = -0.64 eV per atom

Entry 5:
First-principles (PBE) data for an optimized crystal structure of CeGeIr, as listed in the Alexandria database.

a b c (Å): 3.6274 4.4021 4.4021
angles (deg): 120.00 90.00 90.00
With the nearest neighbours (Å) after each atom.
Positions (direct):
Ge 0.1666 0.3333 0.6667  3 Ir 2.54
Ir 0.1667 0.0000 0.0000  3 Ge 2.54
Ce 0.6667 0.6667 0.3333  6 Ge 3.12, 6 Ir 3.12

Calculated values
volume = 61 Å³/cell
E_tot = -7.30 eV/atom
total moment = 0.00 μB/f.u.
space group = P-6m2, No. 187
energy of formation = -0.83 eV per atom

Entry 6:
First-principles (PBE) data for an optimized crystal structure of Ce2Ge6Ir, as listed in the Alexandria database.

a b c (Å): 5.3807 6.1289 6.1289
angles (deg): 60.00 90.00 90.00
With the nearest neighbours (Å) after each atom.
Positions (direct):
Ce 0.7984 0.6667 0.6667  12 Ge 3.11-3.17
Ce 0.2016 0.3333 0.3333  12 Ge 3.11-3.17
Ge 0.3055 0.3622 0.8189  1 Ir 2.53, 2 Ge 2.80
Ge 0.3056 0.8189 0.8189  1 Ir 2.53, 2 Ge 2.80
Ge 0.3055 0.8189 0.3622  1 Ir 2.53, 2 Ge 2.80
Ge 0.6945 0.6378 0.1811  1 Ir 2.53, 2 Ge 2.80
Ge 0.6944 0.1811 0.1811  1 Ir 2.53, 2 Ge 2.80
Ge 0.6945 0.1811 0.6378  1 Ir 2.53, 2 Ge 2.80
Ir 0.0000 0.0000 0.0000  6 Ge 2.53

Calculated values
volume = 175 Å³/cell
E_tot = -5.91 eV/atom
total moment = 1.03 μB/f.u.
space group = P-3m1, No. 164
energy above the most stable polymorph in this dataset = 0.00 eV/f.u.
energy of formation = -0.53 eV per atom

Entry 7:
First-principles (PBE) data for an optimized crystal structure of Ce5Ge2Ir2, as listed in the Alexandria database.

a b c (Å): 7.6975 7.8507 8.1916
angles (deg): 90.00 61.98 90.00
With the nearest neighbours (Å) after each atom.
Positions (direct):
Ce 0.0000 0.0000 0.0000  2 Ir 2.78, 4 Ge 3.07-3.09
Ce 0.5000 0.5000 0.0000  2 Ir 2.78, 4 Ge 3.07-3.09
Ce 0.4697 0.1613 0.7055  3 Ir 2.86-3.06, 3 Ge 3.12-3.15
Ce 0.8248 0.8387 0.7055  3 Ir 2.86-3.06, 3 Ge 3.12-3.15
Ce 0.3248 0.6613 0.7055  3 Ir 2.86-3.06, 3 Ge 3.12-3.15
Ce 0.9697 0.3387 0.7055  3 Ir 2.86-3.06, 3 Ge 3.12-3.15
Ce 0.5303 0.8387 0.2945  3 Ir 2.86-3.06, 3 Ge 3.12-3.15
Ce 0.1752 0.1613 0.2945  3 Ir 2.86-3.06, 3 Ge 3.12-3.15
Ce 0.6752 0.3387 0.2945  3 Ir 2.86-3.06, 3 Ge 3.12-3.15
Ce 0.0303 0.6613 0.2945  3 Ir 2.86-3.06, 3 Ge 3.12-3.15
Ge 0.1224 0.3755 0.0000  1 Ge 2.72
Ge 0.8776 0.6245 0.0000  1 Ge 2.72
Ge 0.3776 0.8755 0.0000  1 Ge 2.72
Ge 0.6224 0.1245 0.0000  1 Ge 2.72
Ir 0.1925 0.0000 0.6150  7 Ce 2.78-3.06
Ir 0.6925 0.5000 0.6150  7 Ce 2.78-3.06
Ir 0.8075 0.0000 0.3850  7 Ce 2.78-3.06
Ir 0.3075 0.5000 0.3850  7 Ce 2.78-3.06

Calculated values
volume = 437 Å³/cell
E_tot = -6.96 eV/atom
total moment = 2.41 μB/f.u.
space group = Cmce, No. 64
energy above the most stable polymorph in this dataset = 0.00 eV/f.u.
energy of formation = -0.67 eV per atom

Entry 8:
First-principles (PBE) data for an optimized crystal structure of Ce3GeIr, as listed in the Alexandria database.

a b c (Å): 4.4796 7.8590 14.1077
angles (deg): 90.00 90.00 90.00
With the nearest neighbours (Å) after each atom.
Positions (direct):
Ce 0.2500 0.1715 0.2326  1 Ir 2.64
Ce 0.7500 0.3285 0.7326  1 Ir 2.64
Ce 0.7500 0.8285 0.7674  1 Ir 2.64
Ce 0.2500 0.6715 0.2674  1 Ir 2.64
Ce 0.2500 0.3742 0.4888  2 Ir 2.91, 2 Ce 3.00, 3 Ge 3.14-3.24
Ce 0.7500 0.1258 0.9888  2 Ir 2.91, 2 Ce 3.00, 3 Ge 3.14-3.24
Ce 0.7500 0.6258 0.5112  2 Ir 2.91, 2 Ce 3.00, 3 Ge 3.14-3.24
Ce 0.2500 0.8742 0.0112  2 Ir 2.91, 2 Ce 3.00, 3 Ge 3.14-3.24
Ce 0.2500 0.4677 0.8869  3 Ir 2.76-2.88
Ce 0.7500 0.0323 0.3869  3 Ir 2.76-2.88
Ce 0.7500 0.5323 0.1131  3 Ir 2.76-2.88
Ce 0.2500 0.9677 0.6131  3 Ir 2.76-2.88
Ge 0.2500 0.0902 0.8237  9 Ce 3.10-3.24
Ge 0.7500 0.4098 0.3237  9 Ce 3.10-3.24
Ge 0.7500 0.9098 0.1763  9 Ce 3.10-3.24
Ge 0.2500 0.5902 0.6763  9 Ce 3.10-3.24
Ir 0.2500 0.3195 0.0643  6 Ce 2.64-2.91
Ir 0.7500 0.1805 0.5643  6 Ce 2.64-2.91
Ir 0.7500 0.6805 0.9357  6 Ce 2.64-2.91
Ir 0.2500 0.8195 0.4357  6 Ce 2.64-2.91

Calculated values
volume = 497 Å³/cell
E_tot = -6.92 eV/atom
total moment = 1.89 μB/f.u.
space group = Pnma, No. 62
energy above the most stable polymorph in this dataset = 0.00 eV/f.u.
energy of formation = -0.66 eV per atom

Entry 9:
First-principles (PBE) data for an optimized crystal structure of CeGe2Ir4, as listed in the Alexandria database.

a b c (Å): 3.9537 7.7628 7.7628
angles (deg): 90.00 90.00 90.00
With the nearest neighbours (Å) after each atom.
Positions (direct):
Ge 0.0000 0.2254 0.7746  6 Ir 2.52-2.55
Ge 0.0000 0.7746 0.2254  6 Ir 2.52-2.55
Ge 0.5000 0.7254 0.7254  6 Ir 2.52-2.55
Ge 0.5000 0.2746 0.2746  6 Ir 2.52-2.55
Ir 0.0000 0.0780 0.3405  3 Ge 2.52-2.55, 5 Ir 2.76-2.78
Ir 0.0000 0.9220 0.6595  3 Ge 2.52-2.55, 5 Ir 2.76-2.78
Ir 0.5000 0.1595 0.5780  3 Ge 2.52-2.55, 5 Ir 2.76-2.78
Ir 0.5000 0.8405 0.4220  3 Ge 2.52-2.55, 5 Ir 2.76-2.78
Ir 0.5000 0.4220 0.8405  3 Ge 2.52-2.55, 5 Ir 2.76-2.78
Ir 0.5000 0.5780 0.1595  3 Ge 2.52-2.55, 5 Ir 2.76-2.78
Ir 0.0000 0.3405 0.0780  3 Ge 2.52-2.55, 5 Ir 2.76-2.78
Ir 0.0000 0.6595 0.9220  3 Ge 2.52-2.55, 5 Ir 2.76-2.78
Ce 0.5000 0.0000 0.0000  6 Ge 3.01-3.17, 8 Ir 3.36
Ce 0.0000 0.5000 0.5000  6 Ge 3.01-3.17, 8 Ir 3.36

Calculated values
volume = 238 Å³/cell
E_tot = -7.76 eV/atom
total moment = 0.50 μB/f.u.
space group = P4_2/mnm, No. 136
energy of formation = -0.53 eV per atom

Entry 10:
First-principles (PBE) data for an optimized crystal structure of Ce3Ge3Ir, as listed in the Alexandria database.

a b c (Å): 4.3359 5.8264 13.7450
angles (deg): 84.98 80.93 68.16
With the nearest neighbours (Å) after each atom.
Positions (direct):
Ce 0.5347 0.3129 0.6176  7 Ge 3.02-3.37, 3 Ir 3.05-3.21
Ce 0.4653 0.6871 0.3824  7 Ge 3.02-3.37, 3 Ir 3.05-3.21
Ce 0.2543 0.2549 0.2365  2 Ir 2.99, 6 Ge 3.10-3.15
Ce 0.7457 0.7451 0.7635  2 Ir 2.99, 6 Ge 3.10-3.15
Ce 0.3933 0.2897 0.9237  7 Ge 3.05-3.21
Ce 0.6067 0.7103 0.0763  7 Ge 3.05-3.21
Ge 0.8578 0.7495 0.5349  2 Ir 2.56
Ge 0.1422 0.2505 0.4651  2 Ir 2.56
Ge 0.1110 0.8529 0.9251  2 Ge 2.62-2.68
Ge 0.8890 0.1471 0.0749  2 Ge 2.62-2.68
Ge 0.9684 0.8321 0.2312  1 Ir 2.60, 1 Ge 2.68
Ge 0.0316 0.1679 0.7688  1 Ir 2.60, 1 Ge 2.68
Ir 0.7480 0.1238 0.3802  3 Ge 2.56-2.60
Ir 0.2520 0.8762 0.6198  3 Ge 2.56-2.60

Calculated values
volume = 318 Å³/cell
E_tot = -6.57 eV/atom
total moment = 2.42 μB/f.u.
space group = C2/m, No. 12
energy above the most stable polymorph in this dataset = 0.00 eV/f.u.
energy of formation = -0.78 eV per atom

Entry 11:
First-principles (PBE) data for an optimized crystal structure of Ce2GeIr, as listed in the Alexandria database.

a b c (Å): 4.1299 5.9127 8.3288
angles (deg): 111.67 90.00 90.00
With the nearest neighbours (Å) after each atom.
Positions (direct):
Ce 0.7500 0.2208 0.4449  3 Ir 2.89-3.01, 3 Ge 3.12
Ce 0.2500 0.7792 0.5551  3 Ir 2.89-3.01, 3 Ge 3.12
Ce 0.2500 0.7780 0.0918  2 Ir 2.88, 4 Ge 3.08-3.10
Ce 0.7500 0.2220 0.9082  2 Ir 2.88, 4 Ge 3.08-3.10
Ge 0.2500 0.3370 0.2046  2 Ir 2.77, 4 Ce 3.08-3.10
Ge 0.7500 0.6630 0.7954  2 Ir 2.77, 4 Ce 3.08-3.10
Ir 0.7500 0.6739 0.2952  2 Ge 2.77, 5 Ce 2.88-3.01
Ir 0.2500 0.3261 0.7048  2 Ge 2.77, 5 Ce 2.88-3.01

Calculated values
volume = 189 Å³/cell
E_tot = -7.12 eV/atom
total moment = 0.88 μB/f.u.
space group = P2_1/m, No. 11
energy of formation = -0.78 eV per atom

Entry 12:
First-principles (PBE) data for an optimized crystal structure of CeGe2Ir2, as listed in the Alexandria database.

a b c (Å): 4.2545 4.2545 10.1823
angles (deg): 90.00 90.00 90.00
With the nearest neighbours (Å) after each atom.
Positions (direct):
Ce 0.5000 0.0000 0.2558  8 Ir 3.23-3.36, 8 Ge 3.26-3.27
Ce 0.0000 0.5000 0.7442  8 Ir 3.23-3.36, 8 Ge 3.26-3.27
Ge 0.5000 0.0000 0.8686  5 Ir 2.44-2.51
Ge 0.0000 0.5000 0.1314  5 Ir 2.44-2.51
Ge 0.0000 0.0000 0.5000  4 Ir 2.50
Ge 0.5000 0.5000 0.5000  4 Ir 2.50
Ir 0.0000 0.0000 0.0000  4 Ge 2.51
Ir 0.0000 0.5000 0.3710  5 Ge 2.44-2.50
Ir 0.5000 0.5000 0.0000  4 Ge 2.51
Ir 0.5000 0.0000 0.6290  5 Ge 2.44-2.50

Calculated values
volume = 184 Å³/cell
E_tot = -7.36 eV/atom
total moment = 0.50 μB/f.u.
space group = P4/nmm, No. 129
energy of formation = -0.78 eV per atom